# 1
{"formula": "TbCoSn", "functional": "PBE", "state": "optimized geometry", "lattice_angstrom": [[-2.706, 1.786, 0.490], [-1.849, -2.653, -0.542], [2.451, -0.808, 5.510]], "species": ["Tb", "Sn", "Co"], "fractional_positions": [[0.599, 0.599, 0.198], [0.313, 0.313, 0.626], [0.938, 0.938, 0.876]], "spacegroup": "No. 107", "n_ef_per_ev_cell": 2.32, "ef_ev_per_atom": -0.24}


# 2
{"formula": "PaIn3Se6", "functional": "PBE", "state": "optimized geometry", "lattice_angstrom": [[4.141, 0.000, 0.000], [0.000, 10.605, -4.977], [0.000, 0.359, 13.637]], "species": ["Pa", "Pa", "Se", "Se", "Se", "Se", "Se", "Se", "Se", "Se", "Se", "Se", "Se", "Se", "In", "In", "In", "In", "In", "In"], "fractional_positions": [[0.250, 0.308, 0.974], [0.750, 0.692, 0.026], [0.750, 0.130, 0.960], [0.750, 0.017, 0.381], [0.750, 0.673, 0.801], [0.250, 0.983, 0.619], [0.750, 0.258, 0.800], [0.750, 0.479, 0.088], [0.250, 0.870, 0.040], [0.250, 0.742, 0.200], [0.250, 0.327, 0.199], [0.250, 0.369, 0.572], [0.250, 0.521, 0.912], [0.750, 0.631, 0.428], [0.250, 0.574, 0.284], [0.250, 0.857, 0.823], [0.250, 0.129, 0.507], [0.750, 0.426, 0.716], [0.750, 0.143, 0.177], [0.750, 0.871, 0.493]], "spacegroup": "No. 11", "raw_formation_energy_ev_per_atom": -0.76}


# 3
{"formula": "Ca2CdInIr", "functional": "PBE", "state": "optimized geometry", "lattice_angstrom": [[5.468, 0.000, 0.000], [0.000, 5.468, 0.000], [0.000, 0.000, 5.179]], "species": ["Ir", "In", "Cd", "Ca", "Ca"], "fractional_positions": [[0.000, 0.000, 0.000], [0.000, 0.000, 0.500], [0.500, 0.500, 0.500], [0.500, 0.000, 0.000], [0.000, 0.500, 0.000]], "spacegroup": "No. 123", "n_ef_per_ev_cell": 2.73, "ef_ev_per_atom": -0.23}


# 4
{"formula": "Ca2CuOs", "functional": "PBE", "state": "optimized geometry", "lattice_angstrom": [[2.838, 0.000, 0.000], [0.000, 4.954, 0.000], [0.000, 0.000, 5.895]], "species": ["Os", "Ca", "Ca", "Cu"], "fractional_positions": [[0.500, 0.500, 0.791], [0.500, 0.500, 0.305], [0.000, 0.000, 0.940], [0.000, 0.000, 0.465]], "spacegroup": "No. 25", "n_ef_per_ev_cell": 2.63, "ef_ev_per_atom": 0.54}


# 5
{"formula": "MnTePb2", "functional": "PBE", "state": "optimized geometry", "lattice_angstrom": [[-5.329, -0.135, -0.671], [0.711, -5.112, 1.492], [-0.492, 1.013, 3.704]], "species": ["Pb", "Pb", "Te", "Mn"], "fractional_positions": [[0.000, 0.000, 0.000], [0.500, 0.500, 0.000], [0.500, 0.000, 0.500], [0.000, 0.500, 0.500]], "spacegroup": "No. 65", "n_ef_per_ev_cell": 2.42, "raw_formation_energy_ev_per_atom": 0.28}


# 6
{"formula": "ErCuPdPt", "functional": "PBE", "state": "optimized geometry", "lattice_angstrom": [[-3.597, 1.944, -2.121], [-4.246, -0.544, 1.701], [-2.174, 3.563, 1.949]], "species": ["Pd", "Pt", "Cu", "Er"], "fractional_positions": [[0.250, 0.250, 0.250], [0.750, 0.750, 0.750], [0.500, 0.500, 0.500], [0.000, 0.000, 0.000]], "spacegroup": "No. 216", "polymorph_energy_ev_per_atom": 0.099, "n_ef_per_ev_cell": 1.95, "ef_ev_per_atom": -0.70}


# 7
{"formula": "Nd2GdRu", "functional": "PBE", "state": "optimized geometry", "lattice_angstrom": [[3.560, 0.000, 0.000], [0.000, 3.560, 0.000], [0.000, 0.000, 8.982]], "species": ["Nd", "Nd", "Gd", "Ru"], "fractional_positions": [[0.000, 0.000, 0.811], [0.000, 0.000, 0.189], [0.500, 0.500, 0.500], [0.500, 0.500, 0.000]], "spacegroup": "No. 123", "polymorph_energy_ev_per_atom": 0.000, "n_ef_per_ev_cell": 6.05, "ef_ev_per_atom": -0.04}


# 8
{"formula": "Ac2RuCl", "functional": "PBE", "state": "optimized geometry", "lattice_angstrom": [[4.300, -0.001, -0.004], [-2.150, 3.725, 0.004], [-2.144, -1.245, 7.952]], "species": ["Ru", "Cl", "Ac", "Ac"], "fractional_positions": [[0.000, 0.000, 0.000], [0.000, 0.500, 0.500], [0.532, 0.266, 0.798], [0.468, 0.734, 0.202]], "spacegroup": "No. 166", "polymorph_energy_ev_per_atom": 0.000, "n_ef_per_ev_cell": 2.56, "raw_formation_energy_ev_per_atom": -0.91}


Computed values of E_tot (unit: eV/atom) for the preceding records, in sequence: -5.49 -4.62 -3.53 -4.29 -4.65 -5.67 -8.27 -5.75.
Computed values of calculated density (unit: g/cm3) for the preceding records, in sequence: 9.24 5.75 5.36 6.69 8.96 12.79 7.98 7.70.
Computed values of total moment (unit: μB/f.u.) for the preceding records, in sequence: 0.56 0.11 0.00 0.00 4.23 0.00 8.50 0.00.